(1)
VASP calculation (GGA-PBE) on crystalline La3Ir2O at its relaxed geometry.

a b c (Å): 12.034 6.340 7.744
angles (deg): 90.00 101.56 90.00
Space group C2/c (No. 15)
One atom of each set of equivalent atoms:
La (0.000, 0.083, 0.250) [4 per cell]
La (0.156, 0.407, 0.653) [8 per cell]
Ir (0.179, 0.096, 0.029) [8 per cell]
O (0.000, 0.449, 0.250) [4 per cell]

Computed properties:
- energy relative to the elements, uncorrected (eV/f.u.) = -8.240
- final energy (eV/cell) = -182.81

(2)
VASP calculation (GGA-PBE) on crystalline Sm2InGa at its relaxed geometry.

a b c (Å): 3.708 3.708 7.630
angles (deg): 90.00 90.00 90.00
Space group P4/mmm (No. 123)
One atom of each set of equivalent atoms:
Sm (0.000, 0.000, 0.236) [2 per cell]
In (0.500, 0.500, 0.500) [1 per cell]
Ga (0.500, 0.500, 0.000) [1 per cell]

Computed properties:
- energy of formation (eV per atom) = -0.53
- final energy (eV/cell) = -17.31

(3)
VASP calculation (GGA-PBE) on crystalline Na2Y2PaTe6 at its relaxed geometry.

a b c (Å): 7.644 13.181 8.056
angles (deg): 90.00 108.47 90.00
Space group C2/m (No. 12)
One atom of each set of equivalent atoms:
Na (0.000, 0.167, 0.000) [4 per cell]
Y (0.000, 0.333, 0.500) [4 per cell]
Pa (0.000, 0.000, 0.500) [2 per cell]
Te (0.244, 0.165, 0.732) [8 per cell]
Te (0.244, 0.500, 0.731) [4 per cell]

Computed properties:
- energy relative to the elements, uncorrected (eV/f.u.) = -12.978
- final energy (eV/cell) = -113.78

(4)
VASP calculation (GGA-PBE) on crystalline Sc8Rh at its relaxed geometry.

a b c (Å): 10.775 10.775 3.529
angles (deg): 90.00 90.00 90.00
Space group I4/mmm (No. 139)
One atom of each set of equivalent atoms:
Sc (0.000, 0.337, 0.000) [8 per cell]
Sc (0.146, 0.146, 0.500) [8 per cell]
Rh (0.000, 0.000, 0.000) [2 per cell]

Computed properties:
- energy of formation (eV per atom) = -0.15
- final energy (eV/cell) = -118.68

(5)
VASP calculation (GGA-PBE) on crystalline BaMgHg2Pd at its relaxed geometry.

a b c (Å): 5.392 5.392 4.970
angles (deg): 90.00 90.00 90.00
Space group P4/mmm (No. 123)
One atom of each set of equivalent atoms:
Ba (0.000, 0.000, 0.000) [1 per cell]
Mg (0.500, 0.500, 0.000) [1 per cell]
Hg (0.000, 0.500, 0.500) [2 per cell]
Pd (0.500, 0.500, 0.500) [1 per cell]

Computed properties:
- energy of formation (eV per atom) = -0.37
- final energy (eV/cell) = -11.17

(6)
VASP calculation (GGA-PBE) on crystalline HOsCN at its relaxed geometry.

a b c (Å): 2.770 3.894 5.476
angles (deg): 75.68 76.39 69.31
Space group P1 (No. 1)
One atom of each set of equivalent atoms:
H (0.000, 0.000, 0.000) [1 per cell]
Os (0.924, 0.871, 0.302) [1 per cell]
C (0.217, 0.317, 0.268) [1 per cell]
N (0.206, 0.119, 0.506) [1 per cell]

Computed properties:
- final energy (eV/cell) = -28.89

Look up the final energy of the fourth one.
-118.68 eV/cell

Look up the final energy of the third one.
-113.78 eV/cell

Look up the final energy of the fifth one.
-11.17 eV/cell